This record from Alexandria via LeMat-Bulk describes an optimized crystal structure of PbWCl2. The functional is PBE-GGA.

Summary:
For the volume, the calculation gives 104.3 Å³/cell. The calculation puts the formation energy (no corrections) at 0.085 eV/atom. The space group is Immm. The polymorph energy (0 for the lowest one) is 0.38 eV/f.u. The calculation puts the magnetic moment at 0.09 μB/atom. The value obtained for the density of states at the Fermi level is 4.0 states/eV/cell. As for the electronic total energy: -0.36776 Ry per atom.

a = 7.074 Å, b = 7.074 Å, c = 7.074 Å
α = 155.10°, β = 135.34°, γ = 51.80°
Last column: magnetic moment on the atom in μB.
Fractional positions:
Pb (0.750, 0.250, 0.500)  0.01
W (0.250, 0.750, 0.500)  0.22
Cl (0.095, 0.095, 0.000)  0.02
Cl (0.405, 0.405, 0.000)  0.02

This record from Alexandria via LeMat-Bulk describes an optimized crystal structure of PbWCl2. The functional is PBE-GGA.

Summary:
For the volume, the calculation gives 97.7 Å³/cell. The calculation puts the formation energy (no corrections) at 0.989 eV/atom. The space group is Fm-3m. The polymorph energy (0 for the lowest one) is 4.00 eV/f.u. The calculation puts the magnetic moment at 1.27 μB/atom. The value obtained for the density of states at the Fermi level is 4.7 states/eV/cell. As for the electronic total energy: -0.30130 Ry per atom.

a = 5.170 Å, b = 5.170 Å, c = 5.170 Å
α = 60.00°, β = 60.00°, γ = 60.00°
Last column: magnetic moment on the atom in μB.
Fractional positions:
Pb (0.000, 0.000, 0.000)  0.10
W (0.500, 0.500, 0.500)  3.35
Cl (0.750, 0.750, 0.750)  0.10
Cl (0.250, 0.250, 0.250)  0.10

This record from Alexandria via LeMat-Bulk describes an optimized crystal structure of PbWCl. The functional is PBE-GGA.

Summary:
For the volume, the calculation gives 70.4 Å³/cell. The calculation puts the formation energy (no corrections) at 0.572 eV/atom. The space group is I4mm. The polymorph energy (0 for the lowest one) is 0.79 eV/f.u. The calculation puts the magnetic moment at 0.08 μB/atom. The value obtained for the density of states at the Fermi level is 2.2 states/eV/cell. As for the electronic total energy: -0.41140 Ry per atom.

a = 7.824 Å, b = 7.824 Å, c = 7.824 Å
α = 157.44°, β = 157.44°, γ = 32.11°
Last column: magnetic moment on the atom in μB.
Fractional positions:
Cl (0.049, 0.049, 0.000)  0.00
Pb (0.300, 0.300, 0.000)  0.00
W (0.651, 0.651, 0.000)  0.20

This record from Alexandria via LeMat-Bulk describes an optimized crystal structure of PbWCl2. The functional is PBE-GGA.

Summary:
For the volume, the calculation gives 95.6 Å³/cell. The calculation puts the formation energy (no corrections) at 0.809 eV/atom. The space group is I-4m2. The polymorph energy (0 for the lowest one) is 3.27 eV/f.u. The calculation puts the magnetic moment at 0.96 μB/atom. The value obtained for the density of states at the Fermi level is 1.5 states/eV/cell. As for the electronic total energy: -0.31459 Ry per atom.

a = 6.404 Å, b = 6.404 Å, c = 6.404 Å
α = 142.75°, β = 142.75°, γ = 53.70°
Last column: magnetic moment on the atom in μB.
Fractional positions:
Pb (0.500, 0.500, 0.000)  -0.07
W (0.750, 0.250, 0.500)  2.96
Cl (0.000, 0.000, 0.000)  0.07
Cl (0.250, 0.750, 0.500)  -0.03

This record from Alexandria via LeMat-Bulk describes an optimized crystal structure of PbWCl2. The functional is PBE-GGA.

Summary:
For the volume, the calculation gives 86.6 Å³/cell. The calculation puts the formation energy (no corrections) at 0.840 eV/atom. The space group is Cmmm. The polymorph energy (0 for the lowest one) is 3.40 eV/f.u. The calculation puts the magnetic moment at 0.50 μB/atom. The value obtained for the density of states at the Fermi level is 2.4 states/eV/cell. As for the electronic total energy: -0.31230 Ry per atom.

a = 5.459 Å, b = 5.459 Å, c = 3.074 Å
α = 90.00°, β = 90.00°, γ = 109.09°
Last column: magnetic moment on the atom in μB.
Fractional positions:
Pb (0.500, 0.000, 0.500)  -0.02
W (0.000, 0.500, 0.500)  1.57
Cl (0.000, 0.000, 0.000)  -0.01
Cl (0.500, 0.500, 0.000)  -0.01

This record from Alexandria via LeMat-Bulk describes an optimized crystal structure of PbWCl2. The functional is PBE-GGA.

Summary:
For the volume, the calculation gives 100.2 Å³/cell. The calculation puts the formation energy (no corrections) at 0.037 eV/atom. The space group is R-3m. The polymorph energy (0 for the lowest one) is 0.19 eV/f.u. The calculation puts the magnetic moment at 0.00 μB/atom. The value obtained for the density of states at the Fermi level is 4.7 states/eV/cell. As for the electronic total energy: -0.37129 Ry per atom.

a = 11.620 Å, b = 11.620 Å, c = 11.620 Å
α = 15.71°, β = 15.71°, γ = 15.71°
Fractional positions:
Pb (0.250, 0.250, 0.250)
W (0.750, 0.750, 0.750)
Cl (0.033, 0.033, 0.033)
Cl (0.467, 0.467, 0.467)

This record from Alexandria via LeMat-Bulk describes an optimized crystal structure of PbWCl2. The functional is PBE-GGA.

Summary:
For the volume, the calculation gives 95.0 Å³/cell. The calculation puts the formation energy (no corrections) at 0.189 eV/atom. The space group is Pm. The polymorph energy (0 for the lowest one) is 0.80 eV/f.u. The calculation puts the magnetic moment at 0.00 μB/atom. The value obtained for the density of states at the Fermi level is 4.1 states/eV/cell. As for the electronic total energy: -0.36009 Ry per atom.

a = 4.594 Å, b = 3.089 Å, c = 6.899 Å
α = 75.93°, β = 90.00°, γ = 90.00°
Fractional positions:
Pb (0.000, 0.549, 0.553)
W (0.500, 0.889, 0.849)
Cl (0.000, 0.827, 0.963)
Cl (0.500, 0.234, 0.135)

This record from Alexandria via LeMat-Bulk describes an optimized crystal structure of PbWCl2. The functional is PBE-GGA.

Summary:
For the volume, the calculation gives 93.1 Å³/cell. The calculation puts the formation energy (no corrections) at 0.333 eV/atom. The space group is Cmm2. The polymorph energy (0 for the lowest one) is 1.37 eV/f.u. The calculation puts the magnetic moment at 0.25 μB/atom. The value obtained for the density of states at the Fermi level is 2.3 states/eV/cell. As for the electronic total energy: -0.34953 Ry per atom.

a = 3.341 Å, b = 3.341 Å, c = 9.709 Å
α = 90.00°, β = 90.00°, γ = 120.79°
Last column: magnetic moment on the atom in μB.
Fractional positions:
Pb (0.000, 0.000, 0.509)  0.01
W (0.500, 0.500, 0.764)  0.73
Cl (0.000, 0.000, 0.945)  0.03
Cl (0.500, 0.500, 0.282)  0.01

This record from Alexandria via LeMat-Bulk describes an optimized crystal structure of PbW3Cl. The functional is PBE-GGA.

Summary:
For the volume, the calculation gives 91.8 Å³/cell. The calculation puts the formation energy (no corrections) at 1.715 eV/atom. The space group is Pm-3m. The polymorph energy (0 for the lowest one) is 0.00 eV/f.u. The calculation puts the magnetic moment at 0.00 μB/atom. The value obtained for the density of states at the Fermi level is 6.3 states/eV/cell. As for the electronic total energy: -0.52680 Ry per atom.

a = 4.510 Å, b = 4.510 Å, c = 4.510 Å
α = 90.00°, β = 90.00°, γ = 90.00°
Fractional positions:
Pb (0.500, 0.500, 0.500)
W (0.000, 0.500, 0.000)
W (0.000, 0.000, 0.500)
W (0.500, 0.000, 0.000)
Cl (0.000, 0.000, 0.000)

This record from Alexandria via LeMat-Bulk describes an optimized crystal structure of PbWCl. The functional is PBE-GGA.

Summary:
For the volume, the calculation gives 59.5 Å³/cell. The calculation puts the formation energy (no corrections) at 0.815 eV/atom. The space group is P-6m2. The polymorph energy (0 for the lowest one) is 1.52 eV/f.u. The calculation puts the magnetic moment at 0.26 μB/atom. The value obtained for the density of states at the Fermi level is 2.0 states/eV/cell. As for the electronic total energy: -0.39354 Ry per atom.

a = 4.726 Å, b = 4.726 Å, c = 3.075 Å
α = 90.00°, β = 90.00°, γ = 120.00°
Last column: magnetic moment on the atom in μB.
Fractional positions:
Cl (0.000, 0.000, 0.833)  0.00
Pb (0.667, 0.333, 0.333)  -0.02
W (0.333, 0.667, 0.833)  0.63

This record from Alexandria via LeMat-Bulk describes an optimized crystal structure of PbWCl2. The functional is PBE-GGA.

Summary:
For the volume, the calculation gives 82.6 Å³/cell. The calculation puts the formation energy (no corrections) at 0.942 eV/atom. The space group is P4/mmm. The polymorph energy (0 for the lowest one) is 3.81 eV/f.u. The calculation puts the magnetic moment at 0.32 μB/atom. The value obtained for the density of states at the Fermi level is 2.8 states/eV/cell. As for the electronic total energy: -0.30475 Ry per atom.

a = 5.103 Å, b = 5.103 Å, c = 3.172 Å
α = 90.00°, β = 90.00°, γ = 90.00°
Last column: magnetic moment on the atom in μB.
Fractional positions:
Pb (0.500, 0.000, 0.500)  -0.02
W (0.000, 0.500, 0.500)  0.99
Cl (0.000, 0.000, 0.000)  0.00
Cl (0.500, 0.500, 0.000)  0.00

This record from Alexandria via LeMat-Bulk describes an optimized crystal structure of PbWCl3. The functional is PBE-GGA.

Summary:
For the volume, the calculation gives 121.9 Å³/cell. The calculation puts the formation energy (no corrections) at 0.155 eV/atom. The space group is Pm-3m. The polymorph energy (0 for the lowest one) is 0.00 eV/f.u. The calculation puts the magnetic moment at 0.44 μB/atom. The value obtained for the density of states at the Fermi level is 3.3 states/eV/cell. As for the electronic total energy: -0.31494 Ry per atom.

a = 4.958 Å, b = 4.958 Å, c = 4.958 Å
α = 90.00°, β = 90.00°, γ = 90.00°
Last column: magnetic moment on the atom in μB.
Fractional positions:
Pb (0.500, 0.500, 0.500)  -0.13
W (0.000, 0.000, 0.000)  1.95
Cl (0.000, 0.500, 0.000)  0.01
Cl (0.000, 0.000, 0.500)  -0.01
Cl (0.500, 0.000, 0.000)  0.07